Density functional theory data (PBE) for a geometry-optimized Sr3Br5Cl structure.

abc: 4.664 7.091 21.319
angles: 91.38 90.00 90.00
Fractional coordinates of all 18 atoms:
Sr: 0.000 0.000 0.000
Sr: 0.000 0.012 0.670
Sr: 0.000 0.988 0.330
Sr: 0.500 0.486 0.829
Sr: 0.500 0.500 0.500
Sr: 0.500 0.514 0.171
Br: 0.500 0.811 0.735
Br: 0.500 0.817 0.070
Br: 0.500 0.783 0.392
Br: 0.000 0.681 0.900
Br: 0.000 0.712 0.563
Br: 0.000 0.288 0.437
Br: 0.000 0.319 0.100
Br: 0.500 0.183 0.930
Br: 0.500 0.217 0.608
Br: 0.500 0.189 0.265
Cl: 0.000 0.692 0.231
Cl: 0.000 0.308 0.769

Values from the calculation:
Energy above the lowest structure with this stoichiometry in meV/atom: 0
Formation energy from raw total energies in eV per atom: -2.17
SG: No. 10
ρ in g/cm3: 3.29



Density functional theory data (PBE) for a geometry-optimized CuPd2Rh structure.

abc: 5.451 4.759 9.980
angles: 62.97 90.00 90.00
Fractional coordinates of all 16 atoms:
Cu: 0.871 0.960 0.123
Cu: 0.371 0.040 0.377
Cu: 0.629 0.960 0.623
Cu: 0.129 0.040 0.877
Pd: 0.131 0.965 0.627
Pd: 0.369 0.965 0.127
Pd: 0.881 0.532 0.873
Pd: 0.631 0.035 0.873
Pd: 0.119 0.468 0.127
Pd: 0.381 0.468 0.627
Pd: 0.869 0.035 0.373
Pd: 0.619 0.532 0.373
Rh: 0.879 0.460 0.621
Rh: 0.621 0.460 0.121
Rh: 0.121 0.540 0.379
Rh: 0.379 0.540 0.879

Values from the calculation:
Energy above the lowest structure with this stoichiometry in meV/atom: 34
SG: No. 14
ρ in g/cm3: 10.92
ΔE_f in meV per atom: 48



ρ of number 1 (Sr3Br5Cl)? 3.29 g/cm3